1.
10
Lattice="5.420 0.000 0.000 0.000 5.420 0.000 0.000 0.000 8.806" Properties=species:S:1:pos:R:3 comment="PBE Bi2P2Br, optimized geometry" e_above_lowest_polymorph_mev_per_atom=0.0 n_ef_per_ev_cell=5.259 e_form_raw_ev_per_atom=0.0140 pbc="T T T"
Bi 0.000 2.710 2.202
Bi 0.000 2.710 6.605
Bi 2.710 0.000 2.202
Bi 2.710 0.000 6.605
P 0.000 0.000 1.097
P 0.000 0.000 7.709
P 2.710 2.710 3.306
P 2.710 2.710 5.500
Br 0.000 0.000 4.403
Br 2.710 2.710 0.000

---

2.
18
Lattice="7.392 0.000 0.000 0.000 4.181 0.000 -0.007 0.000 12.825" Properties=species:S:1:pos:R:3 comment="PBE NdMgIr, optimized geometry" n_ef_per_ev_cell=7.121 ef_ev_per_atom=-0.599 pbc="T T T"
Nd 0.297 1.045 1.547
Nd 1.133 1.045 5.341
Nd 3.373 3.136 10.070
Nd 4.012 1.045 2.754
Nd 6.252 3.136 7.484
Nd 7.088 3.136 11.278
Mg 0.967 1.045 9.000
Mg 2.705 3.136 0.506
Mg 3.677 1.045 7.498
Mg 3.708 3.136 5.327
Mg 4.680 1.045 12.319
Mg 6.419 3.136 3.825
Ir 1.823 3.136 3.214
Ir 1.875 1.045 11.734
Ir 1.878 3.136 7.437
Ir 5.507 1.045 5.388
Ir 5.510 3.136 1.090
Ir 5.562 1.045 9.610

---

3.
17
Lattice="-4.727 4.727 4.727 4.727 -4.727 4.727 4.727 4.727 -4.727" Properties=species:S:1:pos:R:3 comment="PBE Sb12Ir4Pb, optimized geometry" n_ef_per_ev_cell=6.320 e_form_raw_ev_per_atom=-0.2663 pbc="T T T"
Sb 3.195 1.454 0.000
Sb 6.259 1.454 0.000
Sb 4.727 -1.532 3.273
Sb 3.273 4.727 -1.532
Sb 1.454 0.000 3.195
Sb 0.000 3.195 1.454
Sb 4.727 1.532 3.273
Sb 3.273 4.727 1.532
Sb 1.454 0.000 6.259
Sb 0.000 6.259 1.454
Sb -1.532 3.273 4.727
Sb 1.532 3.273 4.727
Ir 2.364 2.364 -2.364
Ir 2.364 -2.364 2.364
Ir -2.364 2.364 2.364
Ir 2.364 2.364 2.364
Pb 0.000 0.000 0.000

---

4.
14
Lattice="5.182 0.000 0.000 -1.216 6.379 0.000 -2.280 -2.368 8.239" Properties=species:S:1:pos:R:3 comment="PBE Mg4Si3, optimized geometry" e_above_lowest_polymorph_mev_per_atom=42.0 n_ef_per_ev_cell=2.748 e_form_raw_ev_per_atom=0.0099 pbc="T T T"
Mg 0.000 0.000 0.000
Mg -1.685 4.976 2.519
Mg -2.489 0.813 8.125
Mg -0.449 0.831 5.617
Mg -0.862 3.914 6.309
Mg 0.952 3.557 3.595
Mg 2.453 1.814 1.258
Mg 2.048 0.311 3.832
Si -1.623 2.686 3.819
Si -0.176 1.302 2.426
Si 0.931 5.413 1.383
Si 0.096 1.803 8.143
Si 2.032 2.290 5.849
Si 2.868 -1.245 5.878

---

5.
5
Lattice="4.754 0.000 0.000 0.000 4.754 0.000 0.000 0.000 4.754" Properties=species:S:1:pos:R:3 comment="PBE CdAsP3, optimized geometry" e_above_lowest_polymorph_mev_per_atom=0.0 n_ef_per_ev_cell=4.892 ef_ev_per_atom=0.923 pbc="T T T"
Cd 0.000 0.000 0.000
As 2.377 2.377 2.377
P 0.000 2.377 2.377
P 2.377 0.000 2.377
P 2.377 2.377 0.000

---

6.
8
Lattice="7.595 0.000 0.000 0.000 4.389 0.000 -2.519 0.000 4.965" Properties=species:S:1:pos:R:3 comment="PBE PrAlPdPt, optimized geometry" n_ef_per_ev_cell=5.157 ef_ev_per_atom=-0.980 pbc="T T T"
Pr 0.000 0.000 0.000
Pr 3.797 2.194 0.000
Al 2.536 0.000 2.384
Al 6.334 2.194 2.384
Pd 0.005 0.000 3.134
Pd 3.803 2.194 3.134
Pt 1.270 2.194 1.838
Pt 5.067 0.000 1.838

---

7.
19
Lattice="5.935 3.426 5.001 -5.935 3.426 5.001 0.000 -6.853 5.001" Properties=species:S:1:pos:R:3 comment="PBE Sm6Ho12Mg, optimized geometry" e_above_lowest_polymorph_mev_per_atom=0.0 n_ef_per_ev_cell=27.890 ef_ev_per_atom=0.131 pbc="T T T"
Sm -2.343 -2.501 7.774
Sm -3.337 0.778 7.229
Sm 0.994 -3.279 7.229
Sm -0.994 3.279 7.774
Sm 3.337 -0.778 7.774
Sm 2.343 2.501 7.229
Ho -1.423 -5.334 6.267
Ho -5.330 -1.435 8.737
Ho -1.024 -1.787 4.679
Ho -3.908 3.899 6.267
Ho -1.035 1.781 4.679
Ho 2.060 0.006 4.679
Ho -2.060 -0.006 10.324
Ho 1.035 -1.781 10.324
Ho 3.908 -3.899 8.737
Ho 1.024 1.787 10.324
Ho 5.330 1.435 6.267
Ho 1.423 5.334 8.737
Mg 0.000 0.000 7.502

---

8.
28
Lattice="0.000 7.766 7.766 7.766 0.000 7.766 7.766 7.766 0.000" Properties=species:S:1:pos:R:3 comment="PBE KTl10Hg3, optimized geometry" n_ef_per_ev_cell=15.936 ef_ev_per_atom=0.061 pbc="T T T"
K 3.883 3.883 3.883
K 11.648 11.648 11.648
Tl 2.679 2.679 0.000
Tl 5.087 5.087 0.000
Tl 2.679 0.000 2.679
Tl 7.766 5.087 2.679
Tl 5.087 0.000 5.087
Tl 7.766 2.679 5.087
Tl 9.691 5.840 5.840
Tl 0.000 2.679 2.679
Tl 5.087 7.766 2.679
Tl 5.087 2.679 7.766
Tl 5.840 5.840 5.840
Tl 9.691 9.691 5.840
Tl 9.691 5.840 9.691
Tl 5.840 9.691 5.840
Tl 5.840 5.840 9.691
Tl 9.691 9.691 9.691
Tl 0.000 5.087 5.087
Tl 2.679 7.766 5.087
Tl 2.679 5.087 7.766
Tl 5.840 9.691 9.691
Hg 7.766 7.766 4.347
Hg 7.766 4.347 7.766
Hg 11.184 7.766 7.766
Hg 4.347 7.766 7.766
Hg 7.766 11.184 7.766
Hg 7.766 7.766 11.184

---

9.
6
Lattice="3.567 0.000 0.000 0.000 3.567 0.000 0.000 0.000 12.224" Properties=species:S:1:pos:R:3 comment="PBE Y3ThZn2, optimized geometry" n_ef_per_ev_cell=5.894 ef_ev_per_atom=-0.238 pbc="T T T"
Y 0.000 0.000 0.000
Y 0.000 0.000 3.601
Y 0.000 0.000 8.623
Th 1.783 1.783 6.112
Zn 1.783 1.783 1.787
Zn 1.783 1.783 10.437

---

10.
15
Lattice="3.175 1.833 5.337 -3.175 1.833 5.337 0.000 -3.666 5.337" Properties=species:S:1:pos:R:3 comment="PBE Na3Li3HgF8, optimized geometry" n_ef_per_ev_cell=0.000 e_form_raw_ev_per_atom=-2.4738 pbc="T T T"
Na -1.588 -0.917 5.337
Na -1.588 0.917 10.673
Na 0.000 1.833 5.337
Li -3.175 0.000 8.005
Li -1.588 0.917 2.668
Li 1.588 0.917 2.668
Hg 0.000 0.000 8.005
F -1.680 -0.970 9.220
F 0.000 0.000 3.904
F 0.000 -1.940 6.790
F -1.680 0.970 6.790
F 1.680 -0.970 9.220
F 0.000 1.940 9.220
F 0.000 0.000 12.106
F 1.680 0.970 6.790

---

11.
4
Lattice="3.818 0.000 0.000 0.000 4.071 0.000 -0.325 0.000 7.035" Properties=species:S:1:pos:R:3 comment="PBE AlPbCl2, optimized geometry" e_above_lowest_polymorph_mev_per_atom=59.1 n_ef_per_ev_cell=1.332 e_form_raw_ev_per_atom=-0.5334 pbc="T T T"
Al 0.000 0.000 0.000
Pb 0.397 2.035 4.598
Cl 0.519 0.000 2.237
Cl 2.464 2.035 0.415

---

12.
12
Lattice="3.518 0.000 0.000 -1.759 3.046 0.000 0.000 0.000 29.149" Properties=species:S:1:pos:R:3 comment="PBE CrAsBr2, optimized geometry" e_above_lowest_polymorph_mev_per_atom=269.9 n_ef_per_ev_cell=9.439 e_form_raw_ev_per_atom=0.1026 pbc="T T T"
Cr 0.000 0.000 0.000
Cr 0.000 2.031 19.433
Cr 1.759 1.015 9.716
As 0.000 0.000 14.575
As 0.000 2.031 4.858
As 1.759 1.015 24.291
Br 0.000 0.000 8.108
Br 0.000 0.000 21.041
Br 0.000 2.031 11.325
Br 0.000 2.031 27.540
Br 1.759 1.015 1.609
Br 1.759 1.015 17.824

---

Number 1: uncorrected energy -40.4 eV per cell. Number 2: uncorrected energy -102.1 eV per cell. Number 3: uncorrected energy -93.1 eV per cell. Number 4: uncorrected energy -45.2 eV per cell. Number 5: uncorrected energy -17.2 eV per cell. Number 6: uncorrected energy -47.3 eV per cell. Number 7: uncorrected energy -82.4 eV per cell. Number 8: uncorrected energy -49.6 eV per cell. Number 9: uncorrected energy -30.8 eV per cell. Number 10: uncorrected energy -62.1 eV per cell. Number 11: uncorrected energy -13.3 eV per cell. Number 12: uncorrected energy -51.6 eV per cell.